# Ca2MgNi4P3

An optimized crystal structure of Ca2MgNi4P3 (GGA-PBE, Alexandria).

As for the total DFT energy (no corrections): -5.207 eV/atom.

a b c (Å): 3.9397 3.9397 9.7775
angles (deg): 90.00 90.00 90.00
Closest atoms and distances in Å follow each position.
Atoms (fractional coordinates):
Ca 0.0000 0.5000 0.2375  6 P 2.99-3.24, 8 Ni 3.00-3.05, 2 Mg 3.24
Ca 0.5000 0.0000 0.7625  6 P 2.99-3.24, 8 Ni 3.00-3.05, 2 Mg 3.24
Mg 0.0000 0.0000 0.5000  4 Ni 2.44
Ni 0.0000 0.0000 0.0000  4 P 2.32
Ni 0.0000 0.5000 0.6476  3 P 2.22-2.44, 2 Mg 2.44
Ni 0.5000 0.0000 0.3524  3 P 2.22-2.44, 2 Mg 2.44
Ni 0.5000 0.5000 0.0000  4 P 2.32
P 0.0000 0.5000 0.8746  5 Ni 2.22-2.32
P 0.5000 0.0000 0.1254  5 Ni 2.22-2.32
P 0.5000 0.5000 0.5000  4 Ni 2.44

---

# Ca2MgNiP

An optimized crystal structure of Ca2MgNiP (GGA-PBE, Alexandria).

As for the total DFT energy (no corrections): -2.858 eV/atom.

a b c (Å): 5.6063 5.6063 4.3564
angles (deg): 90.00 90.00 90.00
Closest atoms and distances in Å follow each position.
Atoms (fractional coordinates):
Ca 0.0000 0.5000 0.0000  2 Mg 2.80
Ca 0.5000 0.0000 0.0000  2 Mg 2.80
Mg 0.0000 0.0000 0.0000  2 Ni 2.18
Ni 0.0000 0.0000 0.5000  2 Mg 2.18
P 0.5000 0.5000 0.5000  8 Ca 3.55, 4 Ni 3.96

---

# Ca2MgNiPb

An optimized crystal structure of Ca2MgNiPb (GGA-PBE, Alexandria).

As for the total DFT energy (no corrections): -2.490 eV/atom.

a b c (Å): 5.9754 5.9754 5.2520
angles (deg): 90.00 90.00 90.00
Closest atoms and distances in Å follow each position.
Atoms (fractional coordinates):
Ca 0.0000 0.5000 0.0000  2 Pb 2.99
Ca 0.5000 0.0000 0.0000  2 Pb 2.99
Mg 0.0000 0.0000 0.5000  2 Pb 2.63
Ni 0.5000 0.5000 0.5000  8 Ca 3.98, 4 Mg 4.23
Pb 0.0000 0.0000 0.0000  2 Mg 2.63

---

no.,energy of formation from the pure elements (eV/atom)
1,-0.7120
2,0.4998
3,0.5274